[1]
The following is a DFT calculation (PBE) of a geometry-optimized Lu3SbAs2 structure.

volume: 24.74 Å³/atom
uncorrected energy: -5.805 eV per atom
calculated density: 8.91 g cm⁻³

```
data_Lu3SbAs2
_chemical_formula_sum 'Lu3 Sb1 As2'
_symmetry_space_group_name_H-M 'P -3 m 1'
_symmetry_Int_Tables_number 164
_symmetry_space_group_name_Hall '-P 3 2"'
_cell_length_a 4.1003
_cell_length_b 4.1003
_cell_length_c 10.1939
_cell_angle_alpha 90.00
_cell_angle_beta 90.00
_cell_angle_gamma 120.00
loop_
_atom_site_label
_atom_site_fract_x
_atom_site_fract_y
_atom_site_fract_z
_atom_site_occupancy
Lu1 0.0000 0.0000 0.0000 1
Lu2 0.3333 0.6667 0.6839 1
Sb1 0.0000 0.0000 0.5000 1
As1 0.3333 0.6667 0.1599 1
```

***

[2]
The following is a DFT calculation (PBE) of a geometry-optimized LuScAs2 structure.

volume: 20.21 Å³/atom
uncorrected energy: -5.303 eV per atom
calculated density: 7.59 g cm⁻³

```
data_LuScAs2
_chemical_formula_sum 'Lu4 Sc4 As8'
_symmetry_space_group_name_H-M 'F -4 3 m'
_symmetry_Int_Tables_number 216
_symmetry_space_group_name_Hall 'F -4 2 3'
_cell_length_a 6.8642
_cell_length_b 6.8642
_cell_length_c 6.8642
_cell_angle_alpha 90.00
_cell_angle_beta 90.00
_cell_angle_gamma 90.00
loop_
_atom_site_label
_atom_site_fract_x
_atom_site_fract_y
_atom_site_fract_z
_atom_site_occupancy
Lu1 0.0000 0.0000 0.0000 1
Sc1 0.2500 0.2500 0.7500 1
As1 0.0000 0.0000 0.5000 1
As2 0.2500 0.2500 0.2500 1
```